## SbRu2Pt (PBE-GGA)

Data for a relaxed SbRu2Pt crystal.

Lattice parameters (Å, degrees): 3.118 4.579 9.154 90.00 90.00 90.00
Space group Immm (No. 71)
Unique sites:
Sb (0.000, 0.000, 0.000)
Ru (0.000, 0.500, 0.275)
Pt (0.000, 0.000, 0.500)

## Properties
For the density of states at the Fermi level, the calculation gives 1.0707 states/eV per atom.


## SbRu2Pt (PBE-GGA)

Data for a relaxed SbRu2Pt crystal.

Lattice parameters (Å, degrees): 4.007 4.015 7.875 90.00 90.00 90.00
Space group Imm2 (No. 44)
Unique sites:
Sb (0.000, 0.000, 0.000)
Ru (0.000, 0.000, 0.500)
Ru (0.000, 0.500, 0.250)
Pt (0.000, 0.500, 0.750)

## Properties
For the density of states at the Fermi level, the calculation gives 0.9858 states/eV per atom.


## SbRu2Pt (PBE-GGA)

Data for a relaxed SbRu2Pt crystal.

Lattice parameters (Å, degrees): 4.527 4.527 3.115 90.00 90.00 90.00
Space group P4/mmm (No. 123)
Unique sites:
Sb (0.000, 0.000, 0.000)
Ru (0.000, 0.500, 0.500)
Pt (0.500, 0.500, 0.000)

## Properties
For the density of states at the Fermi level, the calculation gives 0.8940 states/eV per atom.


## SbRuPt (PBE-GGA)

Data for a relaxed SbRuPt crystal.

Lattice parameters (Å, degrees): 3.1449 3.1449 13.0162 90.00 90.00 120.00
Space group P-6m2 (No. 187)
Unique sites:
Sb (0.0000, 0.0000, 0.1974)
Ru (0.3333, 0.6667, 0.3424)
Pt (0.0000, 0.0000, 0.0000)
Pt (0.0000, 0.0000, 0.5000)

## Properties
For the density of states at the Fermi level, the calculation gives 1.1943 states/eV per atom. The distance to the lowest polymorph of the same formula is 0.2830 eV/atom.


## Sb6RuPt (PBE-GGA)

Data for a relaxed Sb6RuPt crystal.

Lattice parameters (Å, degrees): 13.308 9.418 9.417 90.00 134.91 90.00
Space group C2/m (No. 12)
Unique sites:
Sb (0.005, 0.154, 0.164)
Sb (0.152, 0.500, 0.000)
Sb (0.154, 0.340, 0.650)
Sb (0.169, 0.500, 0.325)
Ru (0.250, 0.250, 0.500)
Pt (0.250, 0.250, 0.000)

## Properties
For the density of states at the Fermi level, the calculation gives 0.0101 states/eV per atom.


## SbRu2Pt (PBE-GGA)

Data for a relaxed SbRu2Pt crystal.

Lattice parameters (Å, degrees): 2.935 2.935 7.694 90.00 90.00 90.00
Space group P4mm (No. 99)
Unique sites:
Sb (0.000, 0.000, 0.000)
Ru (0.000, 0.000, 0.526)
Ru (0.500, 0.500, 0.736)
Pt (0.500, 0.500, 0.279)

## Properties
For the density of states at the Fermi level, the calculation gives 1.0098 states/eV per atom.


## SbRu2Pt (PBE-GGA)

Data for a relaxed SbRu2Pt crystal.

Lattice parameters (Å, degrees): 9.150 2.989 4.771 90.00 99.95 90.00
Space group Cm (No. 8)
Unique sites:
Sb (0.000, 0.000, 0.000)
Ru (0.252, 0.500, 0.267)
Ru (0.493, 0.000, 0.485)
Pt (0.243, 0.000, 0.735)

## Properties
For the density of states at the Fermi level, the calculation gives 0.8690 states/eV per atom.


## Sb4RuPt (PBE-GGA)

Data for a relaxed Sb4RuPt crystal.

Lattice parameters (Å, degrees): 8.392 8.392 8.392 90.00 90.00 90.00
Space group F-43m (No. 216)
Unique sites:
Sb (0.125, 0.125, 0.125)
Ru (0.000, 0.000, 0.500)
Pt (0.250, 0.250, 0.750)

## Properties
For the density of states at the Fermi level, the calculation gives 1.0014 states/eV per atom. The distance to the lowest polymorph of the same formula is 1.2957 eV/atom.


## SbRuPt3 (PBE-GGA)

Data for a relaxed SbRuPt3 crystal.

Lattice parameters (Å, degrees): 4.896 4.896 4.896 90.00 90.00 90.00
Space group Pm-3m (No. 221)
Unique sites:
Sb (0.000, 0.000, 0.000)
Ru (0.500, 0.500, 0.500)
Pt (0.000, 0.000, 0.500)

## Properties
For the density of states at the Fermi level, the calculation gives 0.9442 states/eV per atom. The distance to the lowest polymorph of the same formula is 0.2283 eV/atom.


## SbRuPt (PBE-GGA)

Data for a relaxed SbRuPt crystal.

Lattice parameters (Å, degrees): 3.1359 3.1359 6.1909 90.00 90.00 120.00
Space group P3m1 (No. 156)
Unique sites:
Sb (0.0000, 0.0000, 0.0000)
Ru (0.6667, 0.3333, 0.6872)
Pt (0.3333, 0.6667, 0.3414)

## Properties
For the density of states at the Fermi level, the calculation gives 1.0489 states/eV per atom. The distance to the lowest polymorph of the same formula is 0.2720 eV/atom.


## SbRuPt (PBE-GGA)

Data for a relaxed SbRuPt crystal.

Lattice parameters (Å, degrees): 6.102 6.102 6.102 90.00 90.00 90.00
Space group F-43m (No. 216)
Unique sites:
Sb (0.000, 0.000, 0.000)
Ru (0.250, 0.250, 0.750)
Pt (0.250, 0.250, 0.250)

## Properties
For the density of states at the Fermi level, the calculation gives 0.6496 states/eV per atom. The distance to the lowest polymorph of the same formula is 0.0000 eV/atom.


## SbRuPt (PBE-GGA)

Data for a relaxed SbRuPt crystal.

Lattice parameters (Å, degrees): 3.225 3.225 9.846 90.00 90.00 90.00
Space group I4mm (No. 107)
Unique sites:
Sb (0.000, 0.000, 0.000)
Ru (0.000, 0.000, 0.645)
Pt (0.000, 0.000, 0.334)

## Properties
For the density of states at the Fermi level, the calculation gives 0.8457 states/eV per atom. The distance to the lowest polymorph of the same formula is 0.1952 eV/atom.


## Sc2SbRuPt (PBE-GGA)

Data for a relaxed Sc2SbRuPt crystal.

Lattice parameters (Å, degrees): 4.980 4.980 4.926 90.00 90.00 90.00
Space group P4/mmm (No. 123)
Unique sites:
Sc (0.000, 0.500, 0.000)
Sb (0.000, 0.000, 0.500)
Ru (0.500, 0.500, 0.500)
Pt (0.000, 0.000, 0.000)

## Properties
For the density of states at the Fermi level, the calculation gives 1.2418 states/eV per atom.


## SbTe2RuPt (PBE-GGA)

Data for a relaxed SbTe2RuPt crystal.

Lattice parameters (Å, degrees): 5.132 5.132 4.982 90.00 90.00 90.00
Space group P4/mmm (No. 123)
Unique sites:
Sb (0.000, 0.000, 0.000)
Te (0.000, 0.500, 0.500)
Ru (0.000, 0.000, 0.500)
Pt (0.500, 0.500, 0.000)

## Properties
For the density of states at the Fermi level, the calculation gives 1.1472 states/eV per atom. The distance to the lowest polymorph of the same formula is 0.0000 eV/atom.


## SbTe2RuPt (PBE-GGA)

Data for a relaxed SbTe2RuPt crystal.

Lattice parameters (Å, degrees): 5.362 5.362 5.060 90.00 90.00 90.00
Space group P4/mmm (No. 123)
Unique sites:
Sb (0.000, 0.000, 0.000)
Te (0.000, 0.500, 0.500)
Ru (0.500, 0.500, 0.000)
Pt (0.000, 0.000, 0.500)

## Properties
For the density of states at the Fermi level, the calculation gives 1.4026 states/eV per atom. The distance to the lowest polymorph of the same formula is 0.2802 eV/atom.


## TlSbRu2Pt (PBE-GGA)

Data for a relaxed TlSbRu2Pt crystal.

Lattice parameters (Å, degrees): 4.970 4.970 5.411 90.00 90.00 90.00
Space group P4/mmm (No. 123)
Unique sites:
Tl (0.000, 0.000, 0.000)
Sb (0.000, 0.000, 0.500)
Ru (0.000, 0.500, 0.000)
Pt (0.500, 0.500, 0.500)

## Properties
For the density of states at the Fermi level, the calculation gives 1.7299 states/eV per atom.


## VSbRuPt2 (PBE-GGA)

Data for a relaxed VSbRuPt2 crystal.

Lattice parameters (Å, degrees): 4.843 4.843 4.865 90.00 90.00 90.00
Space group P4/mmm (No. 123)
Unique sites:
V (0.000, 0.000, 0.000)
Sb (0.500, 0.500, 0.000)
Ru (0.500, 0.500, 0.500)
Pt (0.000, 0.500, 0.500)

## Properties
For the density of states at the Fermi level, the calculation gives 2.0268 states/eV per atom.


## ScRuPt (PBE-GGA)

Data for a relaxed ScRuPt crystal.

Lattice parameters (Å, degrees): 2.911 3.837 8.829 90.00 90.00 90.00
Space group Imm2 (No. 44)
Unique sites:
Sc (0.000, 0.000, 0.000)
Ru (0.000, 0.000, 0.338)
Pt (0.000, 0.000, 0.670)

## Properties
For the density of states at the Fermi level, the calculation gives 1.5399 states/eV per atom. The distance to the lowest polymorph of the same formula is 0.0033 eV/atom.


## Sc2RuPt (PBE-GGA)

Data for a relaxed Sc2RuPt crystal.

Lattice parameters (Å, degrees): 3.442 4.254 9.520 90.00 90.00 90.00
Space group Imm2 (No. 44)
Unique sites:
Sc (0.000, 0.000, 0.000)
Sc (0.000, 0.500, 0.232)
Ru (0.000, 0.000, 0.497)
Pt (0.000, 0.500, 0.746)

## Properties
For the density of states at the Fermi level, the calculation gives 0.5844 states/eV per atom.


## Sc2RuPt (PBE-GGA)

Data for a relaxed Sc2RuPt crystal.

Lattice parameters (Å, degrees): 3.0861 3.0861 27.1548 90.00 90.00 120.00
Space group R-3m (No. 166, hexagonal axes)
Unique sites:
Sc (0.0000, 0.0000, 0.0938)
Ru (0.0000, 0.0000, 0.5000)
Pt (0.0000, 0.0000, 0.0000)

## Properties
For the density of states at the Fermi level, the calculation gives 0.6464 states/eV per atom.


no.,raw total energy (eV per atom)
1,-6.946
2,-7.094
3,-7.073
4,-6.234
5,-5.326
6,-6.959
7,-7.071
8,-4.250
9,-4.990
10,-6.245
11,-6.517
12,-6.322
13,-6.070
14,-4.378
15,-4.098
16,-4.036
17,-5.604
18,-7.603
19,-7.728
20,-7.214